# Ca2NiSb4Rh3 (PBE, optimized geometry)
data_Ca2NiSb4Rh3
_symmetry_space_group_name_H-M 'P 1'
_symmetry_Int_Tables_number 1
_symmetry_space_group_name_Hall 'P 1'
_cell_length_a 4.517
_cell_length_b 4.517
_cell_length_c 10.597
_cell_angle_alpha 90.00
_cell_angle_beta 90.00
_cell_angle_gamma 90.00
loop_
_atom_site_label
_atom_site_type_symbol
_atom_site_fract_x
_atom_site_fract_y
_atom_site_fract_z
Sb1 Sb 0.000 0.500 0.376
Rh1 Rh 0.000 0.500 0.130
Sb2 Sb 0.500 0.500 0.000
Rh2 Rh 0.500 0.000 0.870
Ca1 Ca 0.500 0.000 0.259
Sb3 Sb 0.000 0.000 0.000
Ca2 Ca 0.000 0.500 0.741
Sb4 Sb 0.500 0.000 0.624
Ni1 Ni 0.500 0.500 0.500
Rh3 Rh 0.000 0.000 0.500
# Electronic total energy ... -5.447 eV/atom
# Space group ... No. 115
# Formation energy without anion corrections ... -614 meV per atom

# Ca2NiSb3Rh4 (PBE, optimized geometry)
data_Ca2NiSb3Rh4
_symmetry_space_group_name_H-M 'P 1'
_symmetry_Int_Tables_number 1
_symmetry_space_group_name_Hall 'P 1'
_cell_length_a 4.294
_cell_length_b 4.294
_cell_length_c 10.996
_cell_angle_alpha 90.00
_cell_angle_beta 90.00
_cell_angle_gamma 90.00
loop_
_atom_site_label
_atom_site_type_symbol
_atom_site_fract_x
_atom_site_fract_y
_atom_site_fract_z
Sb1 Sb 0.000 0.000 0.500
Sb2 Sb 0.000 0.500 0.137
Ca1 Ca 0.500 0.000 0.264
Ca2 Ca 0.000 0.500 0.736
Rh1 Rh 0.000 0.500 0.371
Rh2 Rh 0.500 0.000 0.629
Rh3 Rh 0.500 0.500 0.000
Sb3 Sb 0.500 0.000 0.863
Ni1 Ni 0.500 0.500 0.500
Rh4 Rh 0.000 0.000 0.000
# Electronic total energy ... -5.751 eV/atom
# Space group ... No. 115
# Formation energy without anion corrections ... -595 meV per atom

# Ca2NiSb2Rh (PBE, optimized geometry)
data_Ca2NiSb2Rh
_symmetry_space_group_name_H-M 'P 1'
_symmetry_Int_Tables_number 1
_symmetry_space_group_name_Hall 'P 1'
_cell_length_a 6.333
_cell_length_b 6.227
_cell_length_c 8.264
_cell_angle_alpha 112.13
_cell_angle_beta 112.53
_cell_angle_gamma 90.00
loop_
_atom_site_label
_atom_site_type_symbol
_atom_site_fract_x
_atom_site_fract_y
_atom_site_fract_z
Ni1 Ni 0.500 0.250 0.000
Sb1 Sb 0.629 0.395 0.791
Sb2 Sb 0.371 0.605 0.209
Ni2 Ni 0.500 0.750 0.000
Sb3 Sb 0.839 0.105 0.209
Ca1 Ca 0.605 0.845 0.690
Rh1 Rh 0.000 0.750 0.000
Ca2 Ca 0.915 0.655 0.310
Ca3 Ca 0.395 0.155 0.310
Ca4 Ca 0.085 0.345 0.690
Sb4 Sb 0.161 0.895 0.791
Rh2 Rh 0.000 0.250 0.000
# Electronic total energy ... -4.928 eV/atom
# Space group ... No. 72
# Formation energy without anion corrections ... -698 meV per atom

# Ca2Ni4Sb3Rh (PBE, optimized geometry)
data_Ca2Ni4Sb3Rh
_symmetry_space_group_name_H-M 'P 1'
_symmetry_Int_Tables_number 1
_symmetry_space_group_name_Hall 'P 1'
_cell_length_a 4.198
_cell_length_b 4.198
_cell_length_c 10.679
_cell_angle_alpha 90.00
_cell_angle_beta 90.00
_cell_angle_gamma 90.00
loop_
_atom_site_label
_atom_site_type_symbol
_atom_site_fract_x
_atom_site_fract_y
_atom_site_fract_z
Ni1 Ni 0.000 0.000 0.000
Sb1 Sb 0.000 0.000 0.500
Sb2 Sb 0.500 0.000 0.867
Ni2 Ni 0.500 0.500 0.000
Ca1 Ca 0.500 0.000 0.255
Ca2 Ca 0.000 0.500 0.745
Ni3 Ni 0.500 0.000 0.635
Sb3 Sb 0.000 0.500 0.133
Ni4 Ni 0.000 0.500 0.365
Rh1 Rh 0.500 0.500 0.500
# Electronic total energy ... -5.144 eV/atom
# Space group ... No. 115
# Formation energy without anion corrections ... -459 meV per atom